Entry 1:
# PaH8W2

An optimized crystal structure of PaH8W2 (PBE, Alexandria via LeMat-Bulk).

Structure (CIF):
```
data_PaH8W2
_space_group_name_H-M_alt 'C 1 m 1'
_space_group_IT_number 8
_space_group_name_Hall 'C -2y'
_cell_length_a 5.302
_cell_length_b 7.868
_cell_length_c 4.294
_cell_angle_alpha 90.00
_cell_angle_beta 93.01
_cell_angle_gamma 90.00
loop_
_atom_site_label
_atom_site_fract_x
_atom_site_fract_y
_atom_site_fract_z
Pa1 0.000 0.000 0.000
H1 0.113 0.114 0.551
H2 0.119 0.500 0.728
H3 0.255 0.324 0.276
H4 0.379 0.000 0.243
H5 0.438 0.213 0.919
W1 0.461 0.183 0.511
```

=====

Entry 2:
# YPaH2

An optimized crystal structure of YPaH2 (PBE, Alexandria via LeMat-Bulk).

Structure (CIF):
```
data_YPaH2
_space_group_name_H-M_alt 'R -3 m'
_space_group_IT_number 166
_space_group_name_Hall '-R 3 2"'
_cell_length_a 3.4214
_cell_length_b 3.4214
_cell_length_c 17.5743
_cell_angle_alpha 90.00
_cell_angle_beta 90.00
_cell_angle_gamma 120.00
loop_
_atom_site_label
_atom_site_fract_x
_atom_site_fract_y
_atom_site_fract_z
Y1 0.0000 0.0000 0.0000
Pa1 0.0000 0.0000 0.5000
H1 0.0000 0.0000 0.2489
```

=====

Entry 3:
# Y3PaH

An optimized crystal structure of Y3PaH (PBE, Alexandria via LeMat-Bulk).

Structure (CIF):
```
data_Y3PaH
_space_group_name_H-M_alt 'P m -3 m'
_space_group_IT_number 221
_space_group_name_Hall '-P 4 2 3'
_cell_length_a 4.918
_cell_length_b 4.918
_cell_length_c 4.918
_cell_angle_alpha 90.00
_cell_angle_beta 90.00
_cell_angle_gamma 90.00
loop_
_atom_site_label
_atom_site_fract_x
_atom_site_fract_y
_atom_site_fract_z
Y1 0.000 0.000 0.500
Pa1 0.500 0.500 0.500
H1 0.000 0.000 0.000
```

=====

Entry 4:
# Y5Pa3H12

An optimized crystal structure of Y5Pa3H12 (PBE, Alexandria via LeMat-Bulk).

Structure (CIF):
```
data_Y5Pa3H12
_space_group_name_H-M_alt 'I a -3 d'
_space_group_IT_number 230
_space_group_name_Hall '-I 4bd 2c 3'
_cell_length_a 12.965
_cell_length_b 12.965
_cell_length_c 12.965
_cell_angle_alpha 90.00
_cell_angle_beta 90.00
_cell_angle_gamma 90.00
loop_
_atom_site_label
_atom_site_fract_x
_atom_site_fract_y
_atom_site_fract_z
Y1 0.000 0.000 0.000
Y2 0.000 0.250 0.375
Pa1 0.000 0.250 0.125
H1 0.001 0.075 0.654
```

=====

Entry 5:
# PaZnH

An optimized crystal structure of PaZnH (PBE, Alexandria via LeMat-Bulk).

Structure (CIF):
```
data_PaZnH
_space_group_name_H-M_alt 'P m m n'
_space_group_IT_number 59
_cell_length_a 3.072
_cell_length_b 4.358
_cell_length_c 7.184
_cell_angle_alpha 90.00
_cell_angle_beta 90.00
_cell_angle_gamma 90.00
loop_
_space_group_symop_operation_xyz
'x,y,z'
'-x,-y,-z'
'-x+1/2,-y+1/2,z'
'x+1/2,y+1/2,-z'
'x+1/2,-y,-z'
'-x+1/2,y,z'
'-x,y+1/2,-z'
'x,-y+1/2,z'
loop_
_atom_site_label
_atom_site_fract_x
_atom_site_fract_y
_atom_site_fract_z
Pa1 0.250 0.250 0.145
Zn1 0.250 0.750 0.472
H1 0.250 0.750 0.084
```

=====

Entry 6:
# PaZnH

An optimized crystal structure of PaZnH (PBE, Alexandria via LeMat-Bulk).

Structure (CIF):
```
data_PaZnH
_space_group_name_H-M_alt 'P 3 m 1'
_space_group_IT_number 156
_space_group_name_Hall 'P 3 -2"'
_cell_length_a 3.1684
_cell_length_b 3.1684
_cell_length_c 5.3114
_cell_angle_alpha 90.00
_cell_angle_beta 90.00
_cell_angle_gamma 120.00
loop_
_atom_site_label
_atom_site_fract_x
_atom_site_fract_y
_atom_site_fract_z
Pa1 0.0000 0.0000 0.0000
Zn1 0.3333 0.6667 0.5134
H1 0.6667 0.3333 0.2464
```

=====

Entry 7:
# Pa2ZnH

An optimized crystal structure of Pa2ZnH (PBE, Alexandria via LeMat-Bulk).

Structure (CIF):
```
data_Pa2ZnH
_space_group_name_H-M_alt 'R -3 m'
_space_group_IT_number 166
_space_group_name_Hall '-R 3 2"'
_cell_length_a 3.1938
_cell_length_b 3.1938
_cell_length_c 24.3882
_cell_angle_alpha 90.00
_cell_angle_beta 90.00
_cell_angle_gamma 120.00
loop_
_atom_site_label
_atom_site_fract_x
_atom_site_fract_y
_atom_site_fract_z
Pa1 0.0000 0.0000 0.2309
Zn1 0.0000 0.0000 0.0000
H1 0.0000 0.0000 0.5000
```

=====

Entry 8:
# PaZnH

An optimized crystal structure of PaZnH (PBE, Alexandria via LeMat-Bulk).

Structure (CIF):
```
data_PaZnH
_space_group_name_H-M_alt 'I 4 m m'
_space_group_IT_number 107
_space_group_name_Hall 'I 4 -2'
_cell_length_a 3.066
_cell_length_b 3.066
_cell_length_c 10.482
_cell_angle_alpha 90.00
_cell_angle_beta 90.00
_cell_angle_gamma 90.00
loop_
_atom_site_label
_atom_site_fract_x
_atom_site_fract_y
_atom_site_fract_z
Pa1 0.000 0.000 0.000
Zn1 0.000 0.000 0.289
H1 0.000 0.000 0.581
```

=====

Electronic total energy (computed, eV per atom): -5.62; -5.89; -6.41; -5.42; -4.68; -4.73; -5.97; -4.51
Density (computed, g cm⁻³): 11.27; 9.00; 6.96; 7.01; 10.27; 10.70; 12.22; 10.03